# 1
DFT (PBE-GGA) results for an optimized crystal structure of Ce2InPb2.

VASP energy (eV per atom): -4.722
ρ (g cm⁻³): 8.8
SG: P4/mbm, No. 127

Cell lengths 8.129, 8.129, 4.633 Å; angles 90.00, 90.00, 90.00 degrees
Element x y z (fractional)
Ce (0.171, 0.329, 0.000)
Ce (0.329, 0.829, 0.000)
Ce (0.671, 0.171, 0.000)
Ce (0.829, 0.671, 0.000)
In (0.000, 0.000, 0.500)
In (0.500, 0.500, 0.500)
Pb (0.134, 0.634, 0.500)
Pb (0.366, 0.134, 0.500)
Pb (0.634, 0.866, 0.500)
Pb (0.866, 0.366, 0.500)

---

# 2
DFT (PBE-GGA) results for an optimized crystal structure of Ce7InPb5.

VASP energy (eV per atom): -5.048
ρ (g cm⁻³): 8.9
SG: Imm2, No. 44

Cell lengths 8.477, 8.477, 8.477 Å; angles 135.20, 99.09, 97.61 degrees
Element x y z (fractional)
Ce (0.000, 0.000, 0.000)
Ce (0.242, 0.242, 0.000)
Ce (0.266, 0.606, 0.660)
Ce (0.435, 0.102, 0.333)
Ce (0.769, 0.102, 0.667)
Ce (0.780, 0.280, 0.500)
Ce (0.947, 0.606, 0.340)
In (0.631, 0.631, 0.000)
Pb (0.096, 0.105, 0.489)
Pb (0.096, 0.607, 0.991)
Pb (0.358, 0.858, 0.500)
Pb (0.615, 0.105, 0.009)
Pb (0.615, 0.607, 0.511)

---

# 3
DFT (PBE-GGA) results for an optimized crystal structure of Ce2InPb.

VASP energy (eV per atom): -4.960
ρ (g cm⁻³): 8.8
SG: P4/mmm, No. 123

Cell lengths 4.944, 4.944, 4.662 Å; angles 90.00, 90.00, 90.00 degrees
Element x y z (fractional)
Ce (0.000, 0.500, 0.000)
Ce (0.500, 0.000, 0.000)
In (0.000, 0.000, 0.500)
Pb (0.500, 0.500, 0.500)

---

# 4
DFT (PBE-GGA) results for an optimized crystal structure of Ce2In2Pb3.

VASP energy (eV per atom): -4.199
ρ (g cm⁻³): 8.4
SG: Immm, No. 71

Cell lengths 11.118, 11.118, 11.118 Å; angles 157.55, 154.90, 33.92 degrees
Element x y z (fractional)
Ce (0.173, 0.173, 0.000)
Ce (0.827, 0.827, 0.000)
In (0.433, 0.933, 0.500)
In (0.567, 0.067, 0.500)
Pb (0.000, 0.500, 0.500)
Pb (0.324, 0.324, 0.000)
Pb (0.676, 0.676, 0.000)

---

# 5
DFT (PBE-GGA) results for an optimized crystal structure of Ce3In5Pb.

VASP energy (eV per atom): -4.202
ρ (g cm⁻³): 8.0
SG: P6_3/mcm, No. 193

Cell lengths 9.339, 9.339, 6.597 Å; angles 90.00, 90.00, 120.00 degrees
Element x y z (fractional)
Ce (0.000, 0.304, 0.250)
Ce (0.000, 0.696, 0.750)
Ce (0.304, 0.000, 0.250)
Ce (0.304, 0.304, 0.750)
Ce (0.696, 0.000, 0.750)
Ce (0.696, 0.696, 0.250)
In (0.000, 0.361, 0.750)
In (0.000, 0.639, 0.250)
In (0.333, 0.667, 0.000)
In (0.333, 0.667, 0.500)
In (0.361, 0.000, 0.750)
In (0.361, 0.361, 0.250)
In (0.639, 0.000, 0.250)
In (0.639, 0.639, 0.750)
In (0.667, 0.333, 0.000)
In (0.667, 0.333, 0.500)
Pb (0.000, 0.000, 0.000)
Pb (0.000, 0.000, 0.500)

---

# 6
DFT (PBE-GGA) results for an optimized crystal structure of Ce7InPb4.

VASP energy (eV per atom): -5.151
ρ (g cm⁻³): 8.7
SG: C2/m, No. 12

Cell lengths 8.137, 8.137, 9.018 Å; angles 114.59, 114.59, 43.75 degrees
Element x y z (fractional)
Ce (0.000, 0.000, 0.000)
Ce (0.236, 0.236, 0.858)
Ce (0.338, 0.338, 0.611)
Ce (0.465, 0.465, 0.331)
Ce (0.535, 0.535, 0.669)
Ce (0.662, 0.662, 0.389)
Ce (0.764, 0.764, 0.142)
In (0.500, 0.500, 0.000)
Pb (0.077, 0.077, 0.425)
Pb (0.229, 0.229, 0.218)
Pb (0.771, 0.771, 0.782)
Pb (0.923, 0.923, 0.575)

---

# 7
DFT (PBE-GGA) results for an optimized crystal structure of Ce2In9Pb.

VASP energy (eV per atom): -3.585
ρ (g cm⁻³): 7.8
SG: P4/mmm, No. 123

Cell lengths 4.735, 4.735, 14.375 Å; angles 90.00, 90.00, 90.00 degrees
Element x y z (fractional)
Ce (0.000, 0.000, 0.164)
Ce (0.000, 0.000, 0.836)
In (0.000, 0.500, 0.000)
In (0.000, 0.500, 0.329)
In (0.000, 0.500, 0.671)
In (0.500, 0.000, 0.000)
In (0.500, 0.000, 0.329)
In (0.500, 0.000, 0.671)
In (0.500, 0.500, 0.160)
In (0.500, 0.500, 0.500)
In (0.500, 0.500, 0.840)
Pb (0.000, 0.000, 0.500)

---

# 8
DFT (PBE-GGA) results for an optimized crystal structure of Ce3InPb2.

VASP energy (eV per atom): -5.038
ρ (g cm⁻³): 9.1
SG: P4/mmm, No. 123

Cell lengths 3.528, 3.528, 13.907 Å; angles 90.00, 90.00, 90.00 degrees
Element x y z (fractional)
Ce (0.000, 0.000, 0.000)
Ce (0.000, 0.000, 0.337)
Ce (0.000, 0.000, 0.663)
In (0.500, 0.500, 0.500)
Pb (0.500, 0.500, 0.168)
Pb (0.500, 0.500, 0.832)

---

# 9
DFT (PBE-GGA) results for an optimized crystal structure of Ce12In3Pb.

VASP energy (eV per atom): -5.408
ρ (g cm⁻³): 8.3
SG: P4/mmm, No. 123

Cell lengths 4.817, 4.817, 19.215 Å; angles 90.00, 90.00, 90.00 degrees
Element x y z (fractional)
Ce (0.000, 0.000, 0.000)
Ce (0.000, 0.000, 0.248)
Ce (0.000, 0.000, 0.500)
Ce (0.000, 0.000, 0.752)
Ce (0.000, 0.500, 0.125)
Ce (0.000, 0.500, 0.374)
Ce (0.000, 0.500, 0.626)
Ce (0.000, 0.500, 0.875)
Ce (0.500, 0.000, 0.125)
Ce (0.500, 0.000, 0.374)
Ce (0.500, 0.000, 0.626)
Ce (0.500, 0.000, 0.875)
In (0.500, 0.500, 0.000)
In (0.500, 0.500, 0.249)
In (0.500, 0.500, 0.751)
Pb (0.500, 0.500, 0.500)

---

# 10
DFT (PBE-GGA) results for an optimized crystal structure of Ce2In2Pb.

VASP energy (eV per atom): -4.485
ρ (g cm⁻³): 8.2
SG: C2/c, No. 15

Cell lengths 6.427, 6.427, 8.646 Å; angles 105.55, 105.55, 58.26 degrees
Element x y z (fractional)
Ce (0.032, 0.290, 0.143)
Ce (0.290, 0.032, 0.643)
Ce (0.710, 0.968, 0.357)
Ce (0.968, 0.710, 0.857)
In (0.237, 0.510, 0.520)
In (0.490, 0.763, 0.980)
In (0.510, 0.237, 0.020)
In (0.763, 0.490, 0.480)
Pb (0.259, 0.741, 0.250)
Pb (0.741, 0.259, 0.750)

---

# 11
DFT (PBE-GGA) results for an optimized crystal structure of Ce2InPb3.

VASP energy (eV per atom): -4.530
ρ (g cm⁻³): 9.3
SG: Ibam, No. 72

Cell lengths 9.776, 9.776, 9.776 Å; angles 141.32, 55.90, 141.26 degrees
Element x y z (fractional)
Ce (0.154, 0.243, 0.397)
Ce (0.346, 0.743, 0.088)
Ce (0.654, 0.257, 0.912)
Ce (0.846, 0.757, 0.603)
In (0.250, 0.750, 0.500)
In (0.750, 0.250, 0.500)
Pb (0.160, 0.738, 0.898)
Pb (0.250, 0.250, 0.000)
Pb (0.340, 0.238, 0.578)
Pb (0.660, 0.762, 0.422)
Pb (0.750, 0.750, 0.000)
Pb (0.840, 0.262, 0.102)

---

# 12
DFT (PBE-GGA) results for an optimized crystal structure of Ce3In4Pb2.

VASP energy (eV per atom): -4.314
ρ (g cm⁻³): 8.3
SG: P-62m, No. 189

Cell lengths 8.124, 8.124, 4.536 Å; angles 90.00, 90.00, 120.00 degrees
Element x y z (fractional)
Ce (0.000, 0.610, 0.000)
Ce (0.390, 0.390, 0.000)
Ce (0.610, 0.000, 0.000)
In (0.000, 0.000, 0.000)
In (0.000, 0.251, 0.500)
In (0.251, 0.000, 0.500)
In (0.749, 0.749, 0.500)
Pb (0.333, 0.667, 0.500)
Pb (0.667, 0.333, 0.500)

---

# 13
DFT (PBE-GGA) results for an optimized crystal structure of Ce2InPb.

VASP energy (eV per atom): -4.947
ρ (g cm⁻³): 8.7
SG: P4/mmm, No. 123

Cell lengths 4.189, 4.189, 6.569 Å; angles 90.00, 90.00, 90.00 degrees
Element x y z (fractional)
Ce (0.000, 0.000, 0.249)
Ce (0.000, 0.000, 0.751)
In (0.500, 0.500, 0.000)
Pb (0.500, 0.500, 0.500)

---

# 14
DFT (PBE-GGA) results for an optimized crystal structure of Ce8In3Pb.

VASP energy (eV per atom): -5.035
ρ (g cm⁻³): 7.9
SG: Cm, No. 8

Cell lengths 6.923, 6.923, 8.358 Å; angles 110.43, 110.43, 77.94 degrees
Element x y z (fractional)
Ce (0.000, 0.000, 0.000)
Ce (0.029, 0.378, 0.980)
Ce (0.255, 0.814, 0.465)
Ce (0.378, 0.029, 0.980)
Ce (0.462, 0.462, 0.130)
Ce (0.628, 0.628, 0.674)
Ce (0.795, 0.795, 0.520)
Ce (0.814, 0.255, 0.465)
In (0.196, 0.565, 0.747)
In (0.280, 0.280, 0.382)
In (0.565, 0.196, 0.747)
Pb (0.782, 0.782, 0.147)

---

# 15
DFT (PBE-GGA) results for an optimized crystal structure of Ce8In3Pb4.

VASP energy (eV per atom): -4.810
ρ (g cm⁻³): 8.1
SG: C2/m, No. 12

Cell lengths 9.180, 9.180, 6.358 Å; angles 110.08, 110.08, 89.23 degrees
Element x y z (fractional)
Ce (0.169, 0.831, 0.000)
Ce (0.247, 0.247, 0.012)
Ce (0.250, 0.250, 0.495)
Ce (0.250, 0.750, 0.500)
Ce (0.750, 0.250, 0.500)
Ce (0.750, 0.750, 0.505)
Ce (0.753, 0.753, 0.988)
Ce (0.831, 0.169, 0.000)
In (0.000, 0.500, 0.000)
In (0.500, 0.000, 0.000)
In (0.500, 0.500, 0.500)
Pb (0.000, 0.000, 0.500)
Pb (0.000, 0.500, 0.500)
Pb (0.500, 0.000, 0.500)
Pb (0.500, 0.500, 0.000)

---

# 16
DFT (PBE-GGA) results for an optimized crystal structure of Ce2InPb.

VASP energy (eV per atom): -4.793
ρ (g cm⁻³): 9.1
SG: R-3m, No. 166

Cell lengths 11.431, 11.431, 11.431 Å; angles 16.92, 16.92, 16.92 degrees
Element x y z (fractional)
Ce (0.249, 0.249, 0.249)
Ce (0.751, 0.751, 0.751)
In (0.500, 0.500, 0.500)
Pb (0.000, 0.000, 0.000)

---

# 17
DFT (PBE-GGA) results for an optimized crystal structure of Ce3In2Pb3.

VASP energy (eV per atom): -4.663
ρ (g cm⁻³): 9.3
SG: Pmmm, No. 47

Cell lengths 4.785, 4.830, 9.847 Å; angles 90.00, 90.00, 90.00 degrees
Element x y z (fractional)
Ce (0.000, 0.000, 0.000)
Ce (0.500, 0.000, 0.267)
Ce (0.500, 0.000, 0.733)
In (0.000, 0.500, 0.243)
In (0.000, 0.500, 0.757)
Pb (0.000, 0.000, 0.500)
Pb (0.500, 0.500, 0.000)
Pb (0.500, 0.500, 0.500)

---

# 18
DFT (PBE-GGA) results for an optimized crystal structure of Ce15InPb4.

VASP energy (eV per atom): -5.582
ρ (g cm⁻³): 9.0
SG: P4/mmm, No. 123

Cell lengths 4.832, 4.832, 24.092 Å; angles 90.00, 90.00, 90.00 degrees
Element x y z (fractional)
Ce (0.000, 0.000, 0.000)
Ce (0.000, 0.000, 0.199)
Ce (0.000, 0.000, 0.400)
Ce (0.000, 0.000, 0.600)
Ce (0.000, 0.000, 0.801)
Ce (0.000, 0.500, 0.099)
Ce (0.000, 0.500, 0.300)
Ce (0.000, 0.500, 0.500)
Ce (0.000, 0.500, 0.700)
Ce (0.000, 0.500, 0.901)
Ce (0.500, 0.000, 0.099)
Ce (0.500, 0.000, 0.300)
Ce (0.500, 0.000, 0.500)
Ce (0.500, 0.000, 0.700)
Ce (0.500, 0.000, 0.901)
In (0.500, 0.500, 0.000)
Pb (0.500, 0.500, 0.200)
Pb (0.500, 0.500, 0.400)
Pb (0.500, 0.500, 0.600)
Pb (0.500, 0.500, 0.800)

---

# 19
DFT (PBE-GGA) results for an optimized crystal structure of CeIn2Pb.

VASP energy (eV per atom): -3.917
ρ (g cm⁻³): 8.2
SG: Fm-3m, No. 225

Cell lengths 5.485, 5.485, 5.485 Å; angles 60.00, 60.00, 60.00 degrees
Element x y z (fractional)
Ce (0.000, 0.000, 0.000)
In (0.250, 0.250, 0.250)
In (0.750, 0.750, 0.750)
Pb (0.500, 0.500, 0.500)

---

# 20
DFT (PBE-GGA) results for an optimized crystal structure of Ce2InPb.

VASP energy (eV per atom): -4.959
ρ (g cm⁻³): 8.8
SG: Cmmm, No. 65

Cell lengths 5.865, 5.865, 3.423 Å; angles 90.00, 90.00, 104.62 degrees
Element x y z (fractional)
Ce (0.000, 0.500, 0.000)
Ce (0.500, 0.000, 0.000)
In (0.000, 0.000, 0.500)
Pb (0.500, 0.500, 0.500)

---

# 21
DFT (PBE-GGA) results for an optimized crystal structure of Ce2InPb3.

VASP energy (eV per atom): -4.399
ρ (g cm⁻³): 8.8
SG: Immm, No. 71

Cell lengths 6.836, 6.836, 6.836 Å; angles 132.25, 122.84, 77.61 degrees
Element x y z (fractional)
Ce (0.180, 0.180, 0.000)
Ce (0.820, 0.820, 0.000)
In (0.500, 0.500, 0.000)
Pb (0.000, 0.500, 0.500)
Pb (0.338, 0.838, 0.500)
Pb (0.662, 0.162, 0.500)

---

# 22
DFT (PBE-GGA) results for an optimized crystal structure of Ce4InPb.

VASP energy (eV per atom): -5.227
ρ (g cm⁻³): 9.4
SG: Immm, No. 71

Cell lengths 6.255, 6.255, 6.255 Å; angles 131.19, 118.09, 82.56 degrees
Element x y z (fractional)
Ce (0.072, 0.824, 0.248)
Ce (0.424, 0.176, 0.248)
Ce (0.576, 0.824, 0.752)
Ce (0.928, 0.176, 0.752)
In (0.000, 0.500, 0.500)
Pb (0.500, 0.500, 0.000)